1.
Material: TiInFePt
Method: DFT, PBE
State: relaxed Values from VASP.

Quantum ESPRESSO input file:
```
&SYSTEM
  ibrav = 0, nat = 4, ntyp = 4
/
ATOMIC_SPECIES
Ti 47.87 Ti.upf
Fe 55.84 Fe.upf
In 114.82 In.upf
Pt 195.08 Pt.upf
CELL_PARAMETERS angstrom
-1.5514 -3.8517 -1.6502
-1.3512 -3.2347 2.7708
-4.3457 -0.9847 0.3342
ATOMIC_POSITIONS crystal
Ti 0.2500 0.2500 0.2500
Fe 0.0000 0.0000 0.0000
In 0.7500 0.7500 0.7500
Pt 0.5000 0.5000 0.5000
```

formation enthalpy at 0 K: -380 meV per atom
space-group type: F-43m, No. 216

2.
Material: InAg2I8
Method: DFT, PBE
State: relaxed Values from VASP.

Quantum ESPRESSO input file:
```
&SYSTEM
  ibrav = 0, nat = 11, ntyp = 3
/
ATOMIC_SPECIES
Ag 107.87 Ag.upf
I 126.90 I.upf
In 114.82 In.upf
CELL_PARAMETERS angstrom
7.2731 -0.3559 -1.6428
-2.1639 8.4282 -0.6484
-0.4232 1.0994 8.6458
ATOMIC_POSITIONS crystal
Ag 0.3408 0.8186 0.8186
I 0.8157 0.2581 0.9191
I 0.1843 0.0809 0.7419
I 0.1843 0.7419 0.0809
I 0.6654 0.7639 0.7639
I 0.8042 0.4293 0.4293
In 0.0000 0.0000 0.0000
I 0.3346 0.2361 0.2361
Ag 0.6592 0.1814 0.1814
I 0.8157 0.9191 0.2581
I 0.1958 0.5707 0.5707
```

space-group type: C2/m, No. 12
formation energy from raw total energies: -0.18 eV per atom

3.
Material: AgSb2P
Method: DFT, PBE
State: relaxed Values from VASP.

Quantum ESPRESSO input file:
```
&SYSTEM
  ibrav = 0, nat = 8, ntyp = 3
/
ATOMIC_SPECIES
Sb 121.76 Sb.upf
Ag 107.87 Ag.upf
P 30.97 P.upf
CELL_PARAMETERS angstrom
-6.1267 -0.5802 1.1510
-0.3855 -4.5102 -4.3252
-2.0805 -6.6580 2.5969
ATOMIC_POSITIONS crystal
Sb 0.8750 0.8607 0.7500
Sb 0.1393 0.6250 0.2500
Ag 0.0000 0.0000 0.0000
Sb 0.6107 0.1250 0.2500
P 0.5000 0.5000 0.0000
Sb 0.3750 0.3893 0.7500
P 0.2500 0.7500 0.5000
Ag 0.7500 0.2500 0.5000
```

space-group type: I-42d, No. 122
formation energy from raw total energies: 0.20 eV per atom

4.
Material: Mn2AlTe4
Method: DFT, PBE
State: relaxed Values from VASP.

Quantum ESPRESSO input file:
```
&SYSTEM
  ibrav = 0, nat = 14, ntyp = 3
/
ATOMIC_SPECIES
Te 127.60 Te.upf
Mn 54.94 Mn.upf
Al 26.98 Al.upf
CELL_PARAMETERS angstrom
-3.7702 -1.7536 6.0111
-0.8310 -6.8145 -2.5091
8.1953 2.4057 1.3982
ATOMIC_POSITIONS crystal
Te 0.9821 0.9607 0.5905
Te 0.3798 0.2321 0.0905
Te 0.7679 0.2893 0.9095
Mn 0.8750 0.6250 0.2500
Mn 0.3750 0.6250 0.7500
Te 0.6084 0.6298 0.5905
Al 0.7500 0.2500 0.5000
Mn 0.3750 0.6250 0.2500
Mn 0.3750 0.1250 0.7500
Te 0.7107 0.8584 0.0905
Te 0.0393 0.3916 0.4095
Te 0.1416 0.6202 0.9095
Te 0.3702 0.0179 0.4095
Al 0.0000 0.0000 0.0000
```

space-group type: I4_1/a, No. 88
formation energy from raw total energies: -0.01 eV per atom

5.
Material: Fe2PdS
Method: DFT, PBE
State: relaxed Values from VASP.

Quantum ESPRESSO input file:
```
&SYSTEM
  ibrav = 0, nat = 8, ntyp = 3
/
ATOMIC_SPECIES
Fe 55.84 Fe.upf
Pd 106.42 Pd.upf
S 32.06 S.upf
CELL_PARAMETERS angstrom
3.6084 0.0000 0.0000
0.0000 3.6084 0.0000
1.8042 1.8042 8.7822
ATOMIC_POSITIONS crystal
Fe 0.3750 0.4038 0.7500
Fe 0.1538 0.6250 0.2500
Pd 0.7500 0.2500 0.5000
Fe 0.8750 0.8462 0.7500
S 0.5000 0.5000 0.0000
Pd 0.0000 0.0000 0.0000
S 0.2500 0.7500 0.5000
Fe 0.5962 0.1250 0.2500
```

space-group type: I-42d, No. 122
formation energy from raw total energies: 0.28 eV per atom

6.
Material: PuH3
Method: DFT, PBE
State: relaxed Values from VASP.

Quantum ESPRESSO input file:
```
&SYSTEM
  ibrav = 0, nat = 4, ntyp = 2
/
ATOMIC_SPECIES
Pu 244.00 Pu.upf
H 1.01 H.upf
CELL_PARAMETERS angstrom
3.2673 0.0000 0.0000
0.0000 3.2673 0.0000
0.0000 0.0000 3.2673
ATOMIC_POSITIONS crystal
Pu 0.0000 0.0000 0.0000
H 0.0000 0.5000 0.5000
H 0.5000 0.0000 0.5000
H 0.5000 0.5000 0.0000
```

space-group type: Pm-3m, No. 221

Number 1: DFT total energy -6.6642 eV per atom. Number 2: DFT total energy -2.0772 eV per atom. Number 3: DFT total energy -3.9299 eV per atom. Number 4: DFT total energy -4.9571 eV per atom. Number 5: DFT total energy -6.2784 eV per atom. Number 6: DFT total energy -6.3657 eV per atom.